No. 1
Computed, not measured: a relaxed ScSN3 crystal at the PBE level of DFT.

Summary:
The value obtained for the density of states at the Fermi level is 3.187 states/eV/cell. For the uncorrected formation energy, the calculation gives 1.719 eV per atom. Its total magnetic moment is 3.59 μB per formula unit.

The structure in extended XYZ format:
```
5
Lattice="4.197 0.000 0.000 0.000 4.197 0.000 0.000 0.000 4.197" Properties=species:S:1:pos:R:3 pbc="T T T"
Sc 0.000 0.000 0.000
S 2.099 2.099 2.099
N 0.000 0.000 2.099
N 0.000 2.099 0.000
N 2.099 0.000 0.000
```

=====

No. 2
Computed, not measured: a relaxed Pr5CS4 crystal at the PBE level of DFT.

Summary:
The value obtained for the density of states at the Fermi level is 4.174 states/eV/cell. For the uncorrected formation energy, the calculation gives -1.618 eV per atom. Its total magnetic moment is 0.00 μB per formula unit.

The structure in extended XYZ format:
```
10
Lattice="-2.033 2.033 14.379 2.033 -2.033 14.379 2.033 2.033 -14.379" Properties=species:S:1:pos:R:3 pbc="T T T"
Pr 0.000 0.000 0.000
Pr 0.000 0.000 5.784
Pr 0.000 0.000 11.828
Pr 0.000 0.000 16.931
Pr 0.000 0.000 22.975
C 0.000 0.000 14.379
S 0.000 0.000 2.866
S 0.000 0.000 8.717
S 0.000 0.000 20.042
S 0.000 0.000 25.893
```